DyErGa2Ir4 PBE relaxed; total energy = -6.913 eV per atom
1.0
-1.9259 -2.1473 -3.5480
4.0408 -1.8521 -1.0724
-1.3207 -5.0749 3.7882
Dy Er Ga Ir
1 1 2 4
direct
0.0000 0.0000 0.0000 Dy
0.5000 0.5000 0.5000 Er
0.5000 0.5000 0.0000 Ga
0.0000 0.0000 0.5000 Ga
0.5000 0.0000 0.2511 Ir
0.0000 0.5000 0.2511 Ir
0.5000 0.0000 0.7489 Ir
0.0000 0.5000 0.7489 Ir


NdTmSn2 PBE relaxed; total energy = -4.238 eV per atom
1.0
3.3461 0.0000 0.0000
0.0000 3.1373 6.1709
0.0000 -3.1373 6.1709
Nd Sn Tm
1 2 1
direct
0.5000 0.6373 0.6373 Nd
0.5000 0.1170 0.1170 Sn
0.5000 0.8878 0.8878 Sn
0.5000 0.3578 0.3578 Tm


NdSiNO PBE relaxed; energy relative to the lowest polymorph listed for this composition = 0.039 eV/atom
1.0
3.5954 -0.9832 0.9053
-1.8481 -4.1818 2.7980
0.2520 -2.8573 -4.1040
N Nd O Si
2 2 2 2
direct
0.0000 0.7519 0.4983 N
0.0000 0.2519 0.5017 N
0.5000 0.0013 0.2533 Nd
0.5000 0.5013 0.7467 Nd
0.5000 0.5000 0.2297 O
0.5000 0.0000 0.7703 O
0.0000 0.5009 0.2630 Si
0.0000 0.0009 0.7371 Si


Sr2GdOsO6 PBE relaxed; energy relative to the lowest polymorph listed for this composition = 0.000 eV/atom
1.0
5.7943 0.0000 0.0000
0.0000 5.8599 0.0000
-5.7321 0.0000 8.2195
Gd O Os Sr
2 12 2 4
direct
0.5000 0.0000 0.0000 Gd
0.5000 0.5000 0.5000 Gd
0.7706 0.6959 0.0428 O
0.8524 0.2258 0.0443 O
0.3149 0.5212 0.2330 O
0.6851 0.0212 0.2670 O
0.1476 0.7258 0.4557 O
0.2294 0.1959 0.4572 O
0.7706 0.8041 0.5428 O
0.8524 0.2742 0.5443 O
0.3149 0.9788 0.7330 O
0.6851 0.4788 0.7670 O
0.1476 0.7742 0.9557 O
0.2294 0.3041 0.9572 O
0.0000 0.5000 0.0000 Os
0.0000 0.0000 0.5000 Os
0.2394 0.9596 0.2492 Sr
0.7606 0.4596 0.2508 Sr
0.2394 0.5404 0.7492 Sr
0.7606 0.0404 0.7508 Sr


TaFeCoSi PBE relaxed; energy relative to the lowest polymorph listed for this composition = 0.264 eV/atom
1.0
0.0000 2.9612 2.9612
2.9612 0.0000 2.9612
2.9612 2.9612 0.0000
Co Fe Si Ta
1 1 1 1
direct
0.7500 0.7500 0.7500 Co
0.5000 0.5000 0.5000 Fe
0.0000 0.0000 0.0000 Si
0.2500 0.2500 0.2500 Ta


KCd5 PBE relaxed; energy relative to the lowest polymorph listed for this composition = 0.146 eV/atom
1.0
5.8508 -9.1687 0.0000
5.8508 9.1687 0.0000
-1.8260 0.0000 5.8260
Cd K
20 4
direct
0.4477 0.1485 0.1191 Cd
0.1485 0.4477 0.1191 Cd
0.1293 0.1293 0.1960 Cd
0.8409 0.0007 0.2733 Cd
0.0007 0.8409 0.2733 Cd
0.7216 0.4261 0.3473 Cd
0.4261 0.7216 0.3473 Cd
0.6032 0.0224 0.3681 Cd
0.0224 0.6032 0.3681 Cd
0.3794 0.3794 0.3763 Cd
0.6206 0.6206 0.6237 Cd
0.9776 0.3968 0.6319 Cd
0.3968 0.9776 0.6319 Cd
0.5739 0.2784 0.6527 Cd
0.2784 0.5739 0.6527 Cd
0.9993 0.1591 0.7267 Cd
0.1591 0.9993 0.7267 Cd
0.8707 0.8707 0.8040 Cd
0.8515 0.5523 0.8809 Cd
0.5523 0.8515 0.8809 Cd
0.7865 0.2135 0.0000 K
0.2135 0.7865 0.0000 K
0.6554 0.6554 0.1430 K
0.3446 0.3446 0.8570 K